# 1
BaGeAu | PBE | optimized geometry

Cell: 4.749 4.526 8.181 Å, 90.00 90.00 90.00°
Atoms (fractional coordinates):
Ba (0.312, 0.716, 0.145)
Ba (0.312, 0.216, 0.648)
Ge (0.812, 0.216, 0.977)
Ge (0.812, 0.716, 0.815)
Au (0.812, 0.216, 0.296)
Au (0.812, 0.716, 0.497)

Output
Energy of formation from the pure elements in eV/f.u.: -1.89
Space group: Pmma, No. 51


# 2
Ba2GeH6Au2 | PBE | optimized geometry

Cell: 5.042 6.497 7.127 Å, 118.86 90.00 112.83°
Atoms (fractional coordinates):
Ba (0.711, 0.421, 0.227)
Ba (0.289, 0.579, 0.773)
Ge (0.500, 0.000, 0.500)
H (0.830, 0.659, 0.678)
H (0.159, 0.794, 0.179)
H (0.365, 0.206, 0.821)
H (0.841, 0.206, 0.821)
H (0.635, 0.794, 0.179)
H (0.170, 0.341, 0.322)
Au (0.992, 0.985, 0.765)
Au (0.008, 0.015, 0.235)

Output
E in eV/f.u.: -37.514
Space group: C2/m, No. 12


Number 1: total moment 0.000 Bohr magnetons per cell. Number 2: total moment 0.000 Bohr magnetons per cell.